# 1
Below is an optimized crystal structure of Zr2Co7, with properties calculated at the PBE level.

Output
SG ... R-3m (166)

Cell and atoms, written as POSCAR:
```
Zr2Co7
1.0
4.718 0.000 0.920
2.269 4.137 0.920
0.069 0.041 12.202
Zr Co
4 14
Cartesian
6.644 3.933 3.602 Zr
0.412 0.244 10.441 Zr
5.990 3.546 6.958 Zr
1.067 0.632 7.085 Zr
3.528 2.089 7.022 Co
5.105 3.022 11.497 Co
1.952 1.156 2.546 Co
4.278 2.532 3.181 Co
2.779 1.645 10.862 Co
1.135 2.068 0.460 Co
2.359 0.000 0.460 Co
3.494 2.068 0.920 Co
2.736 1.619 4.762 Co
5.112 1.619 5.226 Co
3.879 3.703 5.226 Co
4.321 2.558 9.281 Co
1.945 2.558 8.817 Co
3.178 0.474 8.817 Co
```

# 2
Below is an optimized crystal structure of Zr3Co5, with properties calculated at the PBE level.

Output
SG ... Cmmm (65)

Cell and atoms, written as POSCAR:
```
Zr3Co5
1.0
0.388 5.284 -0.421
-2.552 -0.524 4.633
3.682 -0.110 2.016
Zr Co
3 5
Cartesian
-1.082 2.380 2.106 Zr
1.620 4.026 1.634 Zr
-0.102 0.625 4.593 Zr
0.000 0.000 0.000 Co
0.194 2.642 -0.211 Co
-1.276 -0.262 2.316 Co
0.294 3.350 4.020 Co
1.225 1.301 2.207 Co
```

# 3
Below is an optimized crystal structure of ZrCo, with properties calculated at the PBE level.

Output
SG ... P6_3/m (176)

Cell and atoms, written as POSCAR:
```
ZrCo
1.0
7.134 0.000 0.000
-3.567 6.178 0.000
0.000 0.000 4.732
Zr Co
6 6
Cartesian
5.480 1.374 1.183 Zr
1.550 5.433 3.549 Zr
3.204 4.059 1.183 Zr
-1.913 4.804 3.549 Zr
2.017 0.745 1.183 Zr
0.363 2.119 3.549 Zr
0.533 5.380 1.183 Co
2.741 3.152 3.549 Co
-1.359 3.950 1.183 Co
3.034 0.798 3.549 Co
0.826 3.026 1.183 Co
4.926 2.229 3.549 Co
```

# 4
Below is an optimized crystal structure of ZrCo, with properties calculated at the PBE level.

Output
SG ... Fddd (70)

Cell and atoms, written as POSCAR:
```
ZrCo
1.0
-6.482 -1.264 0.340
1.535 -7.996 -0.459
0.614 -0.456 9.999
Zr Co
16 16
Cartesian
1.222 -6.365 -0.365 Zr
0.313 -1.632 -0.094 Zr
-0.002 -8.059 2.147 Zr
-0.629 -4.795 2.334 Zr
0.761 -2.594 4.864 Zr
1.388 -5.858 4.676 Zr
-0.463 -4.289 7.376 Zr
-1.089 -1.025 7.563 Zr
-1.712 -7.224 4.804 Zr
-2.621 -2.492 5.076 Zr
-2.936 -8.919 7.317 Zr
-3.563 -5.655 7.504 Zr
-2.787 -2.998 0.034 Zr
-2.160 -6.262 -0.153 Zr
-4.011 -4.693 2.547 Zr
-4.637 -1.429 2.734 Zr
-2.041 -0.398 0.107 Co
-4.441 -0.866 0.233 Co
-4.756 -7.293 2.474 Co
-2.356 -6.825 2.348 Co
-0.966 -4.624 4.877 Co
-3.366 -5.092 5.003 Co
-5.217 -3.523 7.703 Co
-2.817 -3.055 7.577 Co
-4.975 -1.258 5.277 Co
-0.893 -0.462 5.062 Co
-1.208 -6.889 7.303 Co
1.191 -6.421 7.177 Co
-4.514 -5.028 0.048 Co
-0.432 -4.232 -0.166 Co
-2.283 -2.663 2.533 Co
0.117 -2.195 2.407 Co
```

# 5
Below is an optimized crystal structure of Zr2Co3, with properties calculated at the PBE level.

Output
SG ... R-3m (166)

Cell and atoms, written as POSCAR:
```
Zr2Co3
1.0
-3.066 -5.119 -1.869
-0.038 -6.242 0.374
-3.327 -4.883 2.047
Zr Co
2 3
Cartesian
-2.614 -6.600 0.224 Zr
-3.818 -9.643 0.328 Zr
0.000 0.000 0.000 Co
-1.042 -2.632 0.089 Co
-5.390 -13.611 0.463 Co
```

# 6
Below is an optimized crystal structure of Zr3Co, with properties calculated at the PBE level.

Output
SG ... P-6m2 (187)

Cell and atoms, written as POSCAR:
```
Zr3Co
1.0
3.390 0.000 0.000
-1.695 2.936 0.000
0.000 0.000 8.413
Co Zr
1 3
Cartesian
0.000 0.000 0.000 Co
0.000 0.000 4.207 Zr
0.000 1.957 1.670 Zr
0.000 1.957 6.744 Zr
```

# 7
Below is an optimized crystal structure of Zr3Co, with properties calculated at the PBE level.

Output
SG ... P6_3/mmc (194)

Cell and atoms, written as POSCAR:
```
Zr3Co
1.0
3.027 -5.242 0.000
3.027 5.242 0.000
0.000 0.000 4.910
Zr Co
6 2
Cartesian
3.027 -3.407 1.227 Zr
3.027 3.407 3.682 Zr
4.463 -0.918 1.227 Zr
1.590 0.918 3.682 Zr
1.590 -0.918 1.227 Zr
4.463 0.918 3.682 Zr
3.027 1.747 1.227 Co
3.027 -1.747 3.682 Co
```

# 8
Below is an optimized crystal structure of Zr5Co4, with properties calculated at the PBE level.

Output
SG ... I4/mmm (139)
Excess energy over the best structure of this formula in the dataset ... 0.3335 eV per atom

Cell and atoms, written as POSCAR:
```
Zr5Co4
1.0
-4.014 4.014 2.363
4.014 -4.014 2.363
4.014 4.014 -2.363
Zr Co
5 4
Cartesian
0.000 0.000 0.000 Zr
1.474 -1.474 2.363 Zr
2.539 2.539 0.000 Zr
1.474 1.474 2.363 Zr
-1.474 1.474 2.363 Zr
5.184 0.000 0.000 Co
2.843 0.000 0.000 Co
0.000 2.843 0.000 Co
0.000 5.184 0.000 Co
```

Per-record energy of formation from the pure elements, kJ/mol of formula units: -184, -158, -12, -26, -71, 12, 47, 65
Per-record DOS(E_F), states/eV/cell: 25.93, 6.45, 10.30, 34.05, 3.90, 4.11, 15.12, 11.17